# 1
Compound: KZr2ZnF
Source: the Alexandria database
Functional: PBE
Structure: relaxed

Output
crystal system	tetragonal
E_form (uncorrected)	-230	meV per atom
space-group type	P4/mmm
volume	20.7	A^3/atom

a b c (Å): 4.610 4.610 4.881
angles (deg): 90.00 90.00 90.00
Fractional coordinates of all 5 atoms:
K: 0.000 0.000 0.000
Zr: 0.000 0.500 0.500
Zr: 0.500 0.000 0.500
Zn: 0.500 0.500 0.000
F: 0.000 0.000 0.500


# 2
Compound: AlTcRh
Source: the Alexandria database
Functional: PBE
Structure: relaxed

Output
formation enthalpy at 0 K	-0.333	eV/atom
crystal system	orthorhombic
space-group type	Imm2
volume	14.2	A^3/atom

a b c (Å): 4.713 4.713 4.713
angles (deg): 145.82 132.83 59.53
Fractional coordinates of all 3 atoms:
Al: 0.000 0.000 0.000
Tc: 0.332 0.332 0.000
Rh: 0.662 0.662 0.000


# 3
Compound: Cr3CdC
Source: the Alexandria database
Functional: PBE
Structure: relaxed

Output
formation enthalpy at 0 K	0.299	eV/atom
crystal system	cubic
space-group type	Pm-3m
volume	12.3	A^3/atom

a b c (Å): 3.946 3.946 3.946
angles (deg): 90.00 90.00 90.00
Fractional coordinates of all 5 atoms:
Cr: 0.000 0.000 0.500
Cr: 0.000 0.500 0.000
Cr: 0.500 0.000 0.000
Cd: 0.500 0.500 0.500
C: 0.000 0.000 0.000


# 4
Compound: DyInPb2
Source: the Alexandria database
Functional: PBE
Structure: relaxed

Output
formation enthalpy at 0 K	-0.235	eV/atom
crystal system	orthorhombic
space-group type	Cmmm
volume	28.4	A^3/atom

a b c (Å): 5.639 5.639 3.645
angles (deg): 90.00 90.00 101.22
Fractional coordinates of all 4 atoms:
Dy: 0.000 0.000 0.000
In: 0.500 0.500 0.000
Pb: 0.000 0.500 0.500
Pb: 0.500 0.000 0.500


# 5
Compound: BeZnIn2
Source: the Alexandria database
Functional: PBE
Structure: relaxed

Output
formation enthalpy at 0 K	0.233	eV/atom
crystal system	monoclinic
space-group type	Pm
volume	19.2	A^3/atom

a b c (Å): 4.035 4.100 5.018
angles (deg): 90.00 112.30 90.00
Fractional coordinates of all 4 atoms:
Be: 0.000 0.000 0.000
Zn: 0.872 0.500 0.742
In: 0.288 0.000 0.570
In: 0.571 0.500 0.157


# 6
Compound: CaInHgGe2
Source: the Alexandria database
Functional: PBE
Structure: relaxed

Output
formation enthalpy at 0 K	0.476	eV/atom
crystal system	tetragonal
space-group type	P4/mmm
volume	37.4	A^3/atom

a b c (Å): 5.674 5.674 5.815
angles (deg): 90.00 90.00 90.00
Fractional coordinates of all 5 atoms:
Ca: 0.000 0.000 0.000
In: 0.500 0.500 0.000
Hg: 0.000 0.000 0.500
Ge: 0.000 0.500 0.500
Ge: 0.500 0.000 0.500


E across the listed records, respectively: -0.1653, -0.2751, -0.2757, -0.1442, -0.0877, -0.0875 hartree per atom.